(A)
A geometry-optimized Li2ZnAs2 structure, computed with GGA-PBE.

It has space group P4/mbm (No. 127), with a = 6.5792 Å, b = 6.5792 Å, c = 4.2259 Å, α = 90.00°, β = 90.00° and γ = 90.00°. The asymmetric unit holds Li at (0.1656, 0.3344, 0.0000), Zn at (0.0000, 0.0000, 0.5000) and As at (0.1362, 0.6362, 0.5000).

As for the total magnetization: 0.00 μB per formula unit.

(B)
A geometry-optimized Li2ZnAs2 structure, computed with GGA-PBE.

It has space group I4/mmm (No. 139), with a = 3.8075 Å, b = 3.8075 Å, c = 13.3798 Å, α = 90.00°, β = 90.00° and γ = 90.00°. The asymmetric unit holds Li at (0.0000, 0.0000, 0.1076), Zn at (0.0000, 0.0000, 0.5000) and As at (0.0000, 0.5000, 0.2500).

As for the total magnetization: 0.00 μB per formula unit.

(C)
A geometry-optimized Li2ZnAs2 structure, computed with GGA-PBE.

It has space group P4/mbm (No. 127), with a = 8.0526 Å, b = 8.0526 Å, c = 2.6382 Å, α = 90.00°, β = 90.00° and γ = 90.00°. The asymmetric unit holds Li at (0.1218, 0.3782, 0.0000), Zn at (0.0000, 0.0000, 0.0000) and As at (0.1766, 0.6766, 0.5000).

As for the total magnetization: 0.00 μB per formula unit.

Stability, lowest: (B)

(A)
A geometry-optimized LiZn2As2 structure, computed with GGA-PBE.

It has space group I4/mmm (No. 139), with a = 4.2116 Å, b = 4.2116 Å, c = 11.2292 Å, α = 90.00°, β = 90.00° and γ = 90.00°. The asymmetric unit holds Li at (0.0000, 0.0000, 0.0000), Zn at (0.0000, 0.0000, 0.3932) and As at (0.0000, 0.5000, 0.2500).

As for the total magnetization: 0.00 μB per formula unit.

(B)
A geometry-optimized LiZn2As2 structure, computed with GGA-PBE.

It has space group P4/mbm (No. 127), with a = 7.4041 Å, b = 7.4041 Å, c = 3.3063 Å, α = 90.00°, β = 90.00° and γ = 90.00°. The asymmetric unit holds Li at (0.0000, 0.0000, 0.0000), Zn at (0.1290, 0.3710, 0.5000) and As at (0.1733, 0.6733, 0.0000).

As for the total magnetization: 0.00 μB per formula unit.

Stability, lowest: (A)

(A)
A geometry-optimized LiZn2As2 structure, computed with GGA-PBE.

It has space group I4/mmm (No. 139), with a = 3.9686 Å, b = 3.9686 Å, c = 12.5641 Å, α = 90.00°, β = 90.00° and γ = 90.00°. The asymmetric unit holds Li at (0.0000, 0.0000, 0.0000), Zn at (0.0000, 0.5000, 0.2500) and As at (0.0000, 0.0000, 0.3801).

As for the total magnetization: 0.00 μB per formula unit.

(B)
A geometry-optimized LiZn2As2 structure, computed with GGA-PBE.

It has space group P4/mbm (No. 127), with a = 7.4517 Å, b = 7.4517 Å, c = 3.2302 Å, α = 90.00°, β = 90.00° and γ = 90.00°. The asymmetric unit holds Li at (0.0000, 0.0000, 0.0000), Zn at (0.1254, 0.3746, 0.0000) and As at (0.1764, 0.6764, 0.5000).

As for the total magnetization: 0.00 μB per formula unit.

Stability, lowest: (B)

(A)
A geometry-optimized Li2ZrAs structure, computed with GGA-PBE.

It has space group R-3m (No. 166, hexagonal axes), with a = 3.0006 Å, b = 3.0006 Å, c = 29.2729 Å, α = 90.00°, β = 90.00° and γ = 120.00°. The asymmetric unit holds Li at (0.0000, 0.0000, 0.2358), Zr at (0.0000, 0.0000, 0.0000) and As at (0.0000, 0.0000, 0.5000).

As for the total magnetization: 0.16 μB per formula unit.

(B)
A geometry-optimized Li2ZrAs structure, computed with GGA-PBE.

It has space group I-42d (No. 122), with a = 3.8233 Å, b = 3.8233 Å, c = 20.9753 Å, α = 90.00°, β = 90.00° and γ = 90.00°. The asymmetric unit holds Li at (0.2229, 0.2500, 0.1250), Zr at (0.0000, 0.0000, 0.5000) and As at (0.0000, 0.0000, 0.0000).

As for the total magnetization: 0.00 μB per formula unit.

(C)
A geometry-optimized Li2ZrAs structure, computed with GGA-PBE.

It has space group I-4m2 (No. 119), with a = 4.2167 Å, b = 4.2167 Å, c = 7.5324 Å, α = 90.00°, β = 90.00° and γ = 90.00°. The asymmetric unit holds Li at (0.0000, 0.0000, 0.0000), Li at (0.0000, 0.5000, 0.2500), Zr at (0.0000, 0.5000, 0.7500) and As at (0.0000, 0.0000, 0.5000).

As for the total magnetization: 0.00 μB per formula unit.

Stability, lowest: (A)

(A)
A geometry-optimized Li2ZrAs structure, computed with GGA-PBE.

It has space group P4/mmm (No. 123), with a = 3.8822 Å, b = 3.8822 Å, c = 4.6517 Å, α = 90.00°, β = 90.00° and γ = 90.00°. The asymmetric unit holds Li at (0.0000, 0.5000, 0.0000), Zr at (0.0000, 0.0000, 0.5000) and As at (0.5000, 0.5000, 0.5000).

As for the total magnetization: 0.00 μB per formula unit.

(B)
A geometry-optimized Li2ZrAs structure, computed with GGA-PBE.

It has space group R3m (No. 160, hexagonal axes), with a = 3.1454 Å, b = 3.1454 Å, c = 28.4497 Å, α = 90.00°, β = 90.00° and γ = 120.00°. The asymmetric unit holds Li at (0.0000, 0.0000, 0.0000), Li at (0.0000, 0.0000, 0.2401), Zr at (0.0000, 0.0000, 0.4807) and As at (0.0000, 0.0000, 0.7366).

As for the total magnetization: 0.44 μB per formula unit.

Stability, lowest: (B)

(A)
A geometry-optimized LiZr2As2 structure, computed with GGA-PBE.

It has space group P4/mbm (No. 127), with a = 7.5624 Å, b = 7.5624 Å, c = 3.4880 Å, α = 90.00°, β = 90.00° and γ = 90.00°. The asymmetric unit holds Li at (0.0000, 0.0000, 0.0000), Zr at (0.1422, 0.3578, 0.0000) and As at (0.1547, 0.6547, 0.5000).

As for the total magnetization: 0.00 μB per formula unit.

(B)
A geometry-optimized LiZr2As2 structure, computed with GGA-PBE.

It has space group P4/mbm (No. 127), with a = 7.2512 Å, b = 7.2512 Å, c = 3.6265 Å, α = 90.00°, β = 90.00° and γ = 90.00°. The asymmetric unit holds Li at (0.0000, 0.0000, 0.0000), Zr at (0.1499, 0.3501, 0.5000) and As at (0.1501, 0.6501, 0.0000).

As for the total magnetization: 0.00 μB per formula unit.

Stability, lowest: (A)

(A)
A geometry-optimized LiZr2As structure, computed with GGA-PBE.

It has space group Immm (No. 71), with a = 4.1764 Å, b = 4.2049 Å, c = 8.3984 Å, α = 90.00°, β = 90.00° and γ = 90.00°. The asymmetric unit holds Li at (0.0000, 0.0000, 0.0000), Zr at (0.0000, 0.5000, 0.2483) and As at (0.0000, 0.0000, 0.5000).

As for the total magnetization: 0.00 μB per formula unit.

(B)
A geometry-optimized LiZr2As structure, computed with GGA-PBE.

It has space group Imm2 (No. 44), with a = 3.5773 Å, b = 4.3762 Å, c = 9.5774 Å, α = 90.00°, β = 90.00° and γ = 90.00°. The asymmetric unit holds Li at (0.0000, 0.0000, 0.0000), Zr at (0.0000, 0.0000, 0.5495), Zr at (0.0000, 0.5000, 0.7803) and As at (0.0000, 0.5000, 0.2981).

As for the total magnetization: 0.00 μB per formula unit.

(C)
A geometry-optimized LiZr2As structure, computed with GGA-PBE.

It has space group P4mm (No. 99), with a = 3.6510 Å, b = 3.6510 Å, c = 5.8623 Å, α = 90.00°, β = 90.00° and γ = 90.00°. The asymmetric unit holds Li at (0.0000, 0.0000, 0.0000), Zr at (0.0000, 0.0000, 0.5398), Zr at (0.5000, 0.5000, 0.2563) and As at (0.5000, 0.5000, 0.7570).

As for the total magnetization: 0.00 μB per formula unit.

(D)
A geometry-optimized LiZr2As structure, computed with GGA-PBE.

It has space group P4/mmm (No. 123), with a = 3.5569 Å, b = 3.5569 Å, c = 5.8991 Å, α = 90.00°, β = 90.00° and γ = 90.00°. The asymmetric unit holds Li at (0.0000, 0.0000, 0.0000), Zr at (0.5000, 0.5000, 0.2531) and As at (0.0000, 0.0000, 0.5000).

As for the total magnetization: 0.00 μB per formula unit.

Stability, lowest: (B)

(A)
A geometry-optimized LiZr2As structure, computed with GGA-PBE.

It has space group Fm-3m (No. 225), with a = 6.6303 Å, b = 6.6303 Å, c = 6.6303 Å, α = 90.00°, β = 90.00° and γ = 90.00°. The asymmetric unit holds Li at (0.0000, 0.0000, 0.0000), Zr at (0.2500, 0.2500, 0.2500) and As at (0.0000, 0.0000, 0.5000).

As for the total magnetization: 0.00 μB per formula unit.

(B)
A geometry-optimized LiZr2As structure, computed with GGA-PBE.

It has space group Amm2 (No. 38), with a = 3.8782 Å, b = 3.6521 Å, c = 10.4246 Å, α = 90.00°, β = 90.00° and γ = 90.00°. The asymmetric unit holds Li at (0.0000, 0.0000, 0.0000), Zr at (0.0000, 0.0000, 0.2774), Zr at (0.5000, 0.0000, 0.5865) and As at (0.5000, 0.0000, 0.8639).

As for the total magnetization: 0.00 μB per formula unit.

Stability, lowest: (A)

(A)
A geometry-optimized LiZr2As structure, computed with GGA-PBE.

It has space group I-42d (No. 122), with a = 7.5529 Å, b = 7.5529 Å, c = 5.6549 Å, α = 90.00°, β = 90.00° and γ = 90.00°. The asymmetric unit holds Li at (0.0000, 0.0000, 0.0000), Zr at (0.2315, 0.2500, 0.6250) and As at (0.0000, 0.0000, 0.5000).

As for the total magnetization: 0.00 μB per formula unit.

(B)
A geometry-optimized LiZr2As structure, computed with GGA-PBE.

It has space group F-43m (No. 216), with a = 6.7102 Å, b = 6.7102 Å, c = 6.7102 Å, α = 90.00°, β = 90.00° and γ = 90.00°. The asymmetric unit holds Li at (0.0000, 0.0000, 0.0000), Zr at (0.0000, 0.0000, 0.5000), Zr at (0.2500, 0.2500, 0.2500) and As at (0.2500, 0.2500, 0.7500).

As for the total magnetization: 0.00 μB per formula unit.

Stability, lowest: (B)

(A)
A geometry-optimized LiZr2As structure, computed with GGA-PBE.

It has space group R-3m (No. 166, hexagonal axes), with a = 3.7256 Å, b = 3.7256 Å, c = 21.0127 Å, α = 90.00°, β = 90.00° and γ = 120.00°. The asymmetric unit holds Li at (0.0000, 0.0000, 0.0000), Zr at (0.0000, 0.0000, 0.2407) and As at (0.0000, 0.0000, 0.5000).

As for the total magnetization: 0.00 μB per formula unit.

(B)
A geometry-optimized LiZr2As structure, computed with GGA-PBE.

It has space group P4/mmm (No. 123), with a = 4.2986 Å, b = 4.2986 Å, c = 3.9794 Å, α = 90.00°, β = 90.00° and γ = 90.00°. The asymmetric unit holds Li at (0.0000, 0.0000, 0.0000), Zr at (0.0000, 0.5000, 0.5000) and As at (0.5000, 0.5000, 0.0000).

As for the total magnetization: 0.00 μB per formula unit.

Stability, lowest: (A)

(A)
A geometry-optimized LiZrAs3 structure, computed with GGA-PBE.

It has space group Pm-3m (No. 221), with a = 5.2065 Å, b = 5.2065 Å, c = 5.2065 Å, α = 90.00°, β = 90.00° and γ = 90.00°. The asymmetric unit holds Li at (0.0000, 0.0000, 0.0000), Zr at (0.5000, 0.5000, 0.5000) and As at (0.0000, 0.5000, 0.5000).

As for the total magnetization: 0.00 μB per formula unit.

(B)
A geometry-optimized LiZrAs3 structure, computed with GGA-PBE.

It has space group Pm-3m (No. 221), with a = 4.5560 Å, b = 4.5560 Å, c = 4.5560 Å, α = 90.00°, β = 90.00° and γ = 90.00°. The asymmetric unit holds Li at (0.0000, 0.0000, 0.0000), Zr at (0.5000, 0.5000, 0.5000) and As at (0.0000, 0.0000, 0.5000).

As for the total magnetization: 0.00 μB per formula unit.

Stability, lowest: (B)

(A)
A geometry-optimized Li3ZrAs structure, computed with GGA-PBE.

It has space group Pm-3m (No. 221), with a = 5.0384 Å, b = 5.0384 Å, c = 5.0384 Å, α = 90.00°, β = 90.00° and γ = 90.00°. The asymmetric unit holds Li at (0.0000, 0.0000, 0.5000), Zr at (0.0000, 0.0000, 0.0000) and As at (0.5000, 0.5000, 0.5000).

As for the total magnetization: 3.29 μB per formula unit.

(B)
A geometry-optimized Li3ZrAs structure, computed with GGA-PBE.

It has space group Pm-3m (No. 221), with a = 4.5664 Å, b = 4.5664 Å, c = 4.5664 Å, α = 90.00°, β = 90.00° and γ = 90.00°. The asymmetric unit holds Li at (0.0000, 0.0000, 0.5000), Zr at (0.5000, 0.5000, 0.5000) and As at (0.0000, 0.0000, 0.0000).

As for the total magnetization: 1.68 μB per formula unit.

Stability, lowest: (A)